Here is crystalline Ca5Pb2O at its relaxed geometry from the Alexandria database. Energies are from GGA-PBE.

The structure belongs to space group Pnma (No. 62); the cell edges are 8.9523, 6.9697 and 14.1917 Å and the angles 90.00°, 90.00° and 90.00°. Symmetry generates all atoms from Ca at (0.0000, 0.0000, 0.0000), Ca at (0.0294, 0.2500, 0.2016), Ca at (0.1622, 0.0023, 0.6158), Ca at (0.2114, 0.7500, 0.3880), Pb at (0.0355, 0.7500, 0.1981), Pb at (0.1729, 0.2500, 0.4145) and O at (0.1722, 0.2500, 0.0661).

The calculated volume is 885.49 Å³ per cell. The uncorrected formation energy comes out at -8.55 eV per formula unit. Its total energy is -3.87 eV per atom. The density of states at the Fermi level comes out at 2.37 states/eV/cell.